## LaMgNi2S (GGA-PBEsol)

Data for a relaxed structure of LaMgNi2S.

a = 4.3110 Å, b = 4.3110 Å, c = 4.8451 Å
α = 90.00°, β = 90.00°, γ = 90.00°
Last column: nearest neighbours and their distance in Å.
Sites, in units of the cell vectors:
La 0.0000 0.0000 0.0000  4 Mg 3.05, 8 Ni 3.24
Mg 0.5000 0.5000 0.0000  2 S 2.42
Ni 0.0000 0.5000 0.5000  2 S 2.16
Ni 0.5000 0.0000 0.5000  2 S 2.16
S 0.5000 0.5000 0.5000  4 Ni 2.16

Values from the calculation:
ΔE_f (raw), eV per formula unit: -0.4
SG: P4/mmm
Total DFT energy (no corrections), Ry/atom: -0.355
Spin magnetization, μB per formula unit: 0.0